{"formula": "La2Ge5Os", "functional": "PBE", "state": "optimized geometry", "space_group": "I4mm", "total_energy_ev_per_cell": -47.4, "density_kg_m3": 7742, "total_magnetization_mub_per_fu": 0.0, "lattice": [[-1.2562, -5.3360, -2.8786], [4.8539, 0.8764, -3.7430], [0.9298, -0.0352, 6.3191]], "species": ["Ge", "La", "Os", "La", "Ge", "Ge", "Ge", "Ge"], "frac_coords": [[0.7263, 0.7263, 0.0208], [0.7675, 0.2675, 0.5350], [0.9805, 0.9805, 0.9609], [0.2675, 0.7675, 0.5350], [0.2944, 0.2944, 0.0208], [0.7264, 0.2944, 0.0208], [0.2944, 0.7264, 0.0208], [0.7200, 0.7200, 0.4400]]}

---

{"formula": "Y2Al4SiAu3", "functional": "PBE", "state": "optimized geometry", "space_group": "P-4m2", "formation_energy_uncorrected_ev_per_atom": -0.64, "density_kg_m3": 7724, "total_magnetization_mub_per_fu": 0.0, "lattice": [[-1.8259, 3.2652, 1.9882], [-2.5987, -2.6761, 2.0085], [7.1722, -0.9054, 8.0735]], "species": ["Y", "Au", "Au", "Y", "Al", "Al", "Si", "Al", "Au", "Al"], "frac_coords": [[0.5000, 0.0000, 0.2565], [0.0000, 0.0000, 0.5000], [0.5000, 0.0000, 0.8620], [0.0000, 0.5000, 0.7435], [0.0000, 0.0000, 0.0000], [0.5000, 0.0000, 0.6359], [0.5000, 0.5000, 0.5000], [0.5000, 0.5000, 0.0000], [0.0000, 0.5000, 0.1380], [0.0000, 0.5000, 0.3641]]}

---

{"formula": "BaTeP2", "functional": "PBE", "state": "optimized geometry", "space_group": "P4mm", "formation_energy_uncorrected_ev_per_atom": -0.15, "density_kg_m3": 4269, "total_magnetization_mub_per_fu": 0.0, "lattice": [[4.3538, 0.0000, 0.0000], [0.0000, 4.3540, 0.0000], [0.0000, 0.0000, 6.7078]], "species": ["P", "P", "Ba", "Te"], "frac_coords": [[0.0000, 0.0000, 0.9467], [0.5000, 0.5000, 0.3741], [0.5000, 0.5000, 0.8724], [0.0000, 0.0000, 0.3068]]}

---

{"formula": "TbZr2Cd2", "functional": "PBE", "state": "optimized geometry", "space_group": "I4/mmm", "total_energy_ev_per_cell": -23.3, "density_kg_m3": 7469, "total_magnetization_mub_per_fu": 0.0, "lattice": [[-2.9799, 2.3152, -1.8550], [0.7816, -1.9236, -3.6565], [-3.7463, -5.1670, 4.3352]], "species": ["Cd", "Zr", "Cd", "Zr", "Tb"], "frac_coords": [[0.4026, 0.4026, 0.8052], [0.7500, 0.2500, 0.5000], [0.5974, 0.5974, 0.1948], [0.2500, 0.7500, 0.5000], [0.0000, 0.0000, 0.0000]]}

---

{"formula": "KPRu2", "functional": "PBE", "state": "optimized geometry", "space_group": "Pmmm", "total_energy_ev_per_cell": -20.4, "density_kg_m3": 6801, "total_magnetization_mub_per_fu": 0.9, "lattice": [[2.8986, 0.0000, 0.0000], [0.0000, 5.0086, 0.0000], [0.0000, 0.0000, 4.5780]], "species": ["K", "Ru", "Ru", "P"], "frac_coords": [[0.5000, 0.0000, 0.5000], [0.5000, 0.5000, 0.0000], [0.0000, 0.0000, 0.0000], [0.0000, 0.5000, 0.5000]]}

---

{"formula": "VCo3H", "functional": "PBE", "state": "optimized geometry", "space_group": "Pmn2_1", "de_polymorph_kcal_per_mol_atoms": 0.184, "density_kg_m3": 8264, "total_magnetization_mub_per_fu": 1.3, "lattice": [[-0.8980, -1.2979, 4.1828], [4.7309, -1.7097, 0.4852], [1.1744, 3.6421, 1.3823]], "species": ["Co", "Co", "H", "H", "Co", "Co", "V", "V", "Co", "Co"], "frac_coords": [[0.6188, 0.4028, 0.8298], [0.1247, 0.1513, 0.8257], [0.7976, 0.1513, 0.0686], [0.7829, 0.6513, 0.5686], [0.4558, 0.6513, 0.3257], [0.9617, 0.3998, 0.3298], [0.4397, 0.1513, 0.3360], [0.1409, 0.6513, 0.8360], [0.9617, 0.9028, 0.3298], [0.6188, 0.8998, 0.8298]]}

---

{"formula": "PdPbI", "functional": "PBE", "state": "optimized geometry", "space_group": "Pmn2_1", "de_polymorph_kcal_per_mol_atoms": 0.027, "formation_energy_uncorrected_ev_per_atom": -0.27, "density_kg_m3": 8497, "total_magnetization_mub_per_fu": 0.0, "lattice": [[4.1582, 0.0000, 0.0000], [0.0000, 6.0308, 0.0000], [0.0000, 0.0000, 6.8660]], "species": ["I", "Pb", "Pd", "I", "Pb", "Pd"], "frac_coords": [[0.5000, 0.0556, 0.6495], [0.0000, 0.5098, 0.4347], [0.5000, 0.2574, 0.2813], [0.0000, 0.9444, 0.1495], [0.5000, 0.4902, 0.9347], [0.0000, 0.7426, 0.7813]]}

---

{"formula": "PmPuThGa", "functional": "PBE", "state": "optimized geometry", "space_group": "F-43m", "total_energy_ev_per_cell": -29.1, "density_kg_m3": 10503, "total_magnetization_mub_per_fu": 6.6, "lattice": [[5.3653, 0.0000, 0.0000], [2.6826, 4.6464, 0.0000], [2.6826, 1.5488, 4.3807]], "species": ["Th", "Pu", "Ga", "Pm"], "frac_coords": [[0.0000, 0.0000, 0.0000], [0.5000, 0.5000, 0.5000], [0.7500, 0.7500, 0.7500], [0.2500, 0.2500, 0.2500]]}

---

{"formula": "ZrSe2N", "functional": "PBE", "state": "optimized geometry", "space_group": "I-42d", "formation_energy_uncorrected_ev_per_atom": 0.48, "density_kg_m3": 5071, "total_magnetization_mub_per_fu": 0.0, "lattice": [[-2.9741, 0.4211, 4.5773], [-1.0863, -5.3618, -0.2125], [2.6606, -3.5454, 5.3291]], "species": ["Zr", "Se", "Zr", "Se", "Se", "Se", "N", "N"], "frac_coords": [[0.7500, 0.2500, 0.5000], [0.5573, 0.1250, 0.2500], [0.0000, 0.0000, 0.0000], [0.1927, 0.6250, 0.2500], [0.3750, 0.4427, 0.7500], [0.8750, 0.8073, 0.7500], [0.5000, 0.5000, 0.0000], [0.2500, 0.7500, 0.5000]]}

---

{"formula": "KHgIr4", "functional": "PBE", "state": "optimized geometry", "space_group": "F-43m", "total_energy_ev_per_cell": -33.3, "density_kg_m3": 15328, "total_magnetization_mub_per_fu": 0.0, "lattice": [[-3.3346, -1.3120, -3.9942], [-4.6923, 2.5499, -0.5247], [-0.7652, 3.3981, -4.0819]], "species": ["K", "Ir", "Ir", "Ir", "Hg", "Ir"], "frac_coords": [[0.7500, 0.7500, 0.7500], [0.3748, 0.8755, 0.3748], [0.3748, 0.3748, 0.8755], [0.3748, 0.3748, 0.3748], [0.0000, 0.0000, 0.0000], [0.8755, 0.3748, 0.3748]]}

---

{"formula": "SnSeF2", "functional": "PBE", "state": "optimized geometry", "space_group": "I-42d", "de_polymorph_kcal_per_mol_atoms": 0.000, "formation_energy_uncorrected_ev_per_atom": -1.10, "density_kg_m3": 5676, "total_magnetization_mub_per_fu": 0.0, "lattice": [[4.1234, 0.0000, 0.0000], [0.0000, 4.1234, 0.0000], [2.0617, 2.0617, 8.1101]], "species": ["F", "Sn", "Se", "F", "F", "Sn", "Se", "F"], "frac_coords": [[0.0939, 0.6250, 0.2500], [0.0000, 0.0000, 0.0000], [0.5000, 0.5000, 0.0000], [0.3750, 0.3439, 0.7500], [0.8750, 0.9061, 0.7500], [0.7500, 0.2500, 0.5000], [0.2500, 0.7500, 0.5000], [0.6561, 0.1250, 0.2500]]}

---

{"formula": "TiV2Ru", "functional": "PBE", "state": "optimized geometry", "space_group": "P4/mmm", "total_energy_ev_per_cell": -36.3, "density_kg_m3": 7331, "total_magnetization_mub_per_fu": 0.0, "lattice": [[3.0078, 0.0000, 0.0000], [0.0000, 3.0078, 0.0000], [0.0000, 0.0000, 6.2802]], "species": ["V", "V", "Ti", "Ru"], "frac_coords": [[0.0000, 0.0000, 0.2409], [0.0000, 0.0000, 0.7591], [0.5000, 0.5000, 0.5000], [0.5000, 0.5000, 0.0000]]}

---

{"formula": "TlNiSb2Te", "functional": "PBE", "state": "optimized geometry", "space_group": "P4/mmm", "de_polymorph_kcal_per_mol_atoms": 28.407, "formation_energy_uncorrected_ev_per_atom": 1.41, "density_kg_m3": 5768, "total_magnetization_mub_per_fu": 0.0, "lattice": [[-4.2189, -2.6504, 2.6233], [3.5632, -1.6969, 4.0162], [-1.1248, 4.7752, 3.0155]], "species": ["Tl", "Ni", "Sb", "Te", "Sb"], "frac_coords": [[0.0000, 0.0000, 0.0000], [0.5000, 0.5000, 0.5000], [0.0000, 0.5000, 0.0000], [0.0000, 0.0000, 0.5000], [0.5000, 0.0000, 0.0000]]}

---

{"formula": "Nd5Cd4Cu", "functional": "PBE", "state": "optimized geometry", "space_group": "P4/mmm", "total_energy_ev_per_cell": -34.3, "density_kg_m3": 7423, "total_magnetization_mub_per_fu": 0.2, "lattice": [[3.7716, 0.0000, 0.0000], [0.0000, 3.7716, 0.0000], [0.0000, 0.0000, 19.4132]], "species": ["Cu", "Nd", "Cd", "Nd", "Cd", "Nd", "Cd", "Nd", "Cd", "Nd"], "frac_coords": [[0.0000, 0.0000, 0.0000], [0.5000, 0.5000, 0.5000], [0.0000, 0.0000, 0.8079], [0.5000, 0.5000, 0.2942], [0.0000, 0.0000, 0.3972], [0.5000, 0.5000, 0.9132], [0.0000, 0.0000, 0.1921], [0.5000, 0.5000, 0.7058], [0.0000, 0.0000, 0.6028], [0.5000, 0.5000, 0.0868]]}

---

{"formula": "HfAlI3", "functional": "PBE", "state": "optimized geometry", "space_group": "Pm-3m", "de_polymorph_kcal_per_mol_atoms": 0.000, "formation_energy_uncorrected_ev_per_atom": 0.04, "density_kg_m3": 5271, "total_magnetization_mub_per_fu": 0.0, "lattice": [[5.6945, 0.0000, 0.0000], [0.0000, 5.6945, 0.0000], [0.0000, 0.0000, 5.6945]], "species": ["I", "Hf", "I", "I", "Al"], "frac_coords": [[0.5000, 0.0000, 0.0000], [0.0000, 0.0000, 0.0000], [0.0000, 0.0000, 0.5000], [0.0000, 0.5000, 0.0000], [0.5000, 0.5000, 0.5000]]}

---

{"formula": "AgPOs2", "functional": "PBE", "state": "optimized geometry", "space_group": "C2/m", "total_energy_ev_per_cell": -29.1, "density_kg_m3": 13814, "total_magnetization_mub_per_fu": 0.0, "lattice": [[3.8517, -0.0029, 0.0062], [2.7750, 2.6711, 0.0062], [0.9867, 0.3973, 6.0648]], "species": ["P", "Os", "Os", "Ag"], "frac_coords": [[0.7500, 0.7500, 0.7500], [0.0093, 0.0093, 0.9366], [0.4907, 0.4907, 0.5634], [0.2500, 0.2500, 0.2500]]}

---

{"formula": "TbPaCuOs", "functional": "PBE", "state": "optimized geometry", "space_group": "F-43m", "total_energy_ev_per_cell": -30.0, "density_kg_m3": 13036, "total_magnetization_mub_per_fu": 0.0, "lattice": [[-4.4569, -0.5414, 1.9034], [-3.7376, -1.2654, -2.8651], [-1.9660, -4.4465, 0.3786]], "species": ["Cu", "Pa", "Tb", "Os"], "frac_coords": [[0.2500, 0.2500, 0.2500], [0.5000, 0.5000, 0.5000], [0.0000, 0.0000, 0.0000], [0.7500, 0.7500, 0.7500]]}

---

{"formula": "NdScCuNi", "functional": "PBE", "state": "optimized geometry", "space_group": "F-43m", "total_energy_ev_per_cell": -21.9, "density_kg_m3": 6635, "total_magnetization_mub_per_fu": 0.0, "lattice": [[-3.6040, 0.2569, -3.1518], [-4.5322, 0.1999, 1.5518], [-2.5098, 4.0609, -0.4461]], "species": ["Nd", "Cu", "Sc", "Ni"], "frac_coords": [[0.0000, 0.0000, 0.0000], [0.2500, 0.2500, 0.2500], [0.5000, 0.5000, 0.5000], [0.7500, 0.7500, 0.7500]]}

---

{"formula": "CeTm2Rh3", "functional": "PBE", "state": "optimized geometry", "space_group": "P-3m1", "total_energy_ev_per_cell": -42.1, "density_kg_m3": 10904, "total_magnetization_mub_per_fu": 0.2, "lattice": [[4.8402, 0.0000, 0.0000], [-2.4201, 4.1917, 0.0000], [0.0000, 0.0000, 5.9050]], "species": ["Rh", "Ce", "Rh", "Tm", "Rh", "Tm"], "frac_coords": [[0.6667, 0.3333, 0.8384], [0.0000, 0.0000, 0.0000], [0.3333, 0.6667, 0.1616], [0.3333, 0.6667, 0.6605], [0.0000, 0.0000, 0.5000], [0.6667, 0.3333, 0.3395]]}

---

{"formula": "TlIrSe2", "functional": "PBE", "state": "optimized geometry", "space_group": "Imm2", "de_polymorph_kcal_per_mol_atoms": 8.269, "formation_energy_uncorrected_ev_per_atom": 0.05, "density_kg_m3": 9792, "total_magnetization_mub_per_fu": 0.0, "lattice": [[9.2318, 0.1145, -0.0154], [8.0275, 4.5606, 0.0154], [-8.7047, -2.0607, 2.2853]], "species": ["Ir", "Se", "Se", "Tl"], "frac_coords": [[0.1960, 0.6960, 0.5000], [0.0946, 0.0946, 0.0000], [0.7650, 0.2650, 0.5000], [0.4444, 0.4444, 0.0000]]}